1.
Below is an optimized crystal structure of Cu3Pd2Au, with properties calculated at the PBE level.

Unit cell a=4.0374 b=12.0797 c=3.4910 alpha=90.00 beta=90.00 gamma=90.00
Positions (direct):
Cu1 0.0000 0.0000 0.0000
Cu2 0.0000 0.3301 0.0000
Cu3 0.0000 0.6699 0.0000
Cu4 0.5000 0.1699 0.0000
Cu5 0.5000 0.5000 0.0000
Cu6 0.5000 0.8301 0.0000
Pd1 0.0000 0.1670 0.5000
Pd2 0.0000 0.8330 0.5000
Pd3 0.5000 0.3330 0.5000
Pd4 0.5000 0.6670 0.5000
Au1 0.0000 0.5000 0.5000
Au2 0.5000 0.0000 0.5000

size of the total moment	0.00	μB/f.u.
crystal system	orthorhombic
energy of formation	-0.13	eV per atom
energy relative to the lowest polymorph listed for this composition	0	kJ/mol of formula units

***

2.
Below is an optimized crystal structure of Cu2PdAu, with properties calculated at the PBE level.

Unit cell a=6.9219 b=6.9219 c=5.3146 alpha=90.00 beta=90.00 gamma=90.00
Positions (direct):
Cu1 0.2466 0.7500 0.1250
Cu2 0.2500 0.2466 0.8750
Cu3 0.2500 0.2534 0.3750
Cu4 0.2534 0.7500 0.6250
Cu5 0.7466 0.2500 0.6250
Cu6 0.7500 0.7466 0.3750
Cu7 0.7500 0.7534 0.8750
Cu8 0.7534 0.2500 0.1250
Pd1 0.0000 0.0000 0.0000
Pd2 0.0000 0.5000 0.2500
Pd3 0.5000 0.0000 0.7500
Pd4 0.5000 0.5000 0.5000
Au1 0.0000 0.0000 0.5000
Au2 0.0000 0.5000 0.7500
Au3 0.5000 0.0000 0.2500
Au4 0.5000 0.5000 0.0000

size of the total moment	0.00	μB/f.u.
crystal system	tetragonal
energy of formation	0.22	eV per atom
energy relative to the lowest polymorph listed for this composition	132	kJ/mol of formula units

***

3.
Below is an optimized crystal structure of Cu2Pd5Au4, with properties calculated at the PBE level.

Unit cell a=7.5121 b=7.5121 c=6.2909 alpha=103.95 beta=103.95 gamma=30.50
Positions (direct):
Cu1 0.0927 0.0927 0.4492
Cu2 0.9073 0.9073 0.5508
Pd1 0.0000 0.0000 0.0000
Pd2 0.2723 0.2723 0.3708
Pd3 0.3649 0.3649 0.8092
Pd4 0.6351 0.6351 0.1908
Pd5 0.7277 0.7277 0.6292
Au1 0.1813 0.1813 0.9048
Au2 0.4561 0.4561 0.2802
Au3 0.5439 0.5439 0.7198
Au4 0.8187 0.8187 0.0952

size of the total moment	0.00	μB/f.u.
crystal system	monoclinic
energy of formation	-0.08	eV per atom
energy relative to the lowest polymorph listed for this composition	0	kJ/mol of formula units

***

4.
Below is an optimized crystal structure of Cu5Pd3Au, with properties calculated at the PBE level.

Unit cell a=8.2918 b=8.2918 c=8.2918 alpha=135.17 beta=135.17 gamma=65.26
Positions (direct):
Cu1 0.0000 0.0000 0.0000
Cu2 0.0813 0.5813 0.9592
Cu3 0.1221 0.0813 0.5000
Cu4 0.3779 0.8779 0.9592
Cu5 0.4187 0.3779 0.5000
Cu6 0.5000 0.5000 0.0000
Cu7 0.5813 0.6221 0.5000
Cu8 0.6221 0.1221 0.0408
Cu9 0.8779 0.9187 0.5000
Cu10 0.9187 0.4187 0.0408
Pd1 0.1359 0.3641 0.5000
Pd2 0.2500 0.2500 0.0000
Pd3 0.3641 0.8641 0.2282
Pd4 0.6359 0.1359 0.7718
Pd5 0.7500 0.7500 0.0000
Pd6 0.8641 0.6359 0.5000
Au1 0.2500 0.7500 0.5000
Au2 0.7500 0.2500 0.5000

size of the total moment	0.00	μB/f.u.
crystal system	tetragonal
energy of formation	0.25	eV per atom

***

5.
Below is an optimized crystal structure of CuPd4Au8, with properties calculated at the PBE level.

Unit cell a=2.8209 b=4.7243 c=17.1124 alpha=90.00 beta=90.00 gamma=90.00
Positions (direct):
Cu1 0.0000 0.0000 0.0000
Pd1 0.0000 0.0000 0.2722
Pd2 0.0000 0.5000 0.4617
Pd3 0.5000 0.0000 0.7072
Pd4 0.5000 0.5000 0.9219
Au1 0.0000 0.0000 0.5608
Au2 0.0000 0.0000 0.8538
Au3 0.0000 0.5000 0.0702
Au4 0.0000 0.5000 0.7653
Au5 0.5000 0.0000 0.1337
Au6 0.5000 0.0000 0.4137
Au7 0.5000 0.5000 0.3070
Au8 0.5000 0.5000 0.6127

size of the total moment	0.00	μB/f.u.
crystal system	orthorhombic
energy of formation	0.01	eV per atom

***

6.
Below is an optimized crystal structure of CuPd2Au9, with properties calculated at the PBE level.

Unit cell a=5.5699 b=6.5920 c=7.4726 alpha=111.06 beta=107.19 gamma=101.03
Positions (direct):
Cu1 0.0000 0.0000 0.0000
Pd1 0.2972 0.3819 0.0610
Pd2 0.7028 0.6181 0.9390
Au1 0.0000 0.5000 0.5000
Au2 0.1672 0.7634 0.3015
Au3 0.2384 0.7110 0.9258
Au4 0.2905 0.2099 0.6296
Au5 0.4857 0.1509 0.2944
Au6 0.5143 0.8491 0.7056
Au7 0.7095 0.7901 0.3704
Au8 0.7616 0.2890 0.0742
Au9 0.8328 0.2366 0.6985

size of the total moment	0.00	μB/f.u.
crystal system	triclinic
energy of formation	0.12	eV per atom